Record 1
# CaZnIn2

A relaxed structure of CaZnIn2 (GGA-PBE, Alexandria).

a b c (Å): 5.1707 5.1707 5.1707
angles (deg): 60.00 60.00 60.00
Closest atoms and distances in Å follow each position.
Fractional positions:
Zn (0.7500, 0.7500, 0.7500)  4 In 3.17, 4 Ca 3.17
Ca (0.5000, 0.5000, 0.5000)  4 Zn 3.17, 4 In 3.17
In (0.0000, 0.0000, 0.0000)  4 In 3.17, 4 Zn 3.17
In (0.2500, 0.2500, 0.2500)  4 Ca 3.17, 4 In 3.17

Computed properties:
The magnetization is 0.0000 μB/atom. The calculated total energy is -9.6 eV/f.u. For the formation enthalpy at 0 K, the calculation gives -0.20 eV/atom. The space group is F-43m (216).

=====

Record 2
# KCrAgS2

A relaxed structure of KCrAgS2 (GGA-PBE, Alexandria).

a b c (Å): 5.5368 6.2257 7.6336
angles (deg): 114.07 90.00 90.00
Closest atoms and distances in Å follow each position.
Fractional positions:
K (0.2221, 0.7500, 0.5000)  2 S 3.15
K (0.7779, 0.2500, 0.5000)  2 S 3.15
Cr (0.5000, 0.7500, 0.0000)  4 S 2.42
Cr (0.5000, 0.2500, 0.0000)  4 S 2.42
Ag (0.0000, 0.0000, 0.0000)  2 S 2.39
Ag (0.0000, 0.5000, 0.0000)  2 S 2.39
S (0.6746, 0.8870, 0.7740)  1 Ag 2.39, 2 Cr 2.42
S (0.6746, 0.6130, 0.2260)  1 Ag 2.39, 2 Cr 2.42
S (0.3254, 0.3870, 0.7740)  1 Ag 2.39, 2 Cr 2.42
S (0.3254, 0.1130, 0.2260)  1 Ag 2.39, 2 Cr 2.42

Computed properties:
The magnetization is 0.8007 μB/atom. The calculated total energy is -24.6 eV/f.u. The space group is Cmme (67).

=====

Record 3
# InHg2F

A relaxed structure of InHg2F (GGA-PBE, Alexandria).

a b c (Å): 5.0949 5.0949 5.0949
angles (deg): 60.00 60.00 60.00
Closest atoms and distances in Å follow each position.
Fractional positions:
F (0.0000, 0.0000, 0.0000)  8 Hg 3.12
Hg (0.2500, 0.2500, 0.2500)  4 F 3.12, 4 In 3.12
Hg (0.7500, 0.7500, 0.7500)  4 In 3.12, 4 F 3.12
In (0.5000, 0.5000, 0.5000)  8 Hg 3.12

Computed properties:
The magnetization is 0.0000 μB/atom. The calculation puts the polymorph energy (0 for the lowest one) at 281.0 meV/atom. The calculated total energy is -7.4 eV/f.u. The space group is Fm-3m (225).

=====

Record 4
# Mg2Cr2Pt

A relaxed structure of Mg2Cr2Pt (GGA-PBE, Alexandria).

a b c (Å): 3.7834 3.7834 6.6136
angles (deg): 73.38 73.38 90.00
Closest atoms and distances in Å follow each position.
Fractional positions:
Cr (0.4253, 0.4253, 0.1494)  1 Cr 1.81
Cr (0.5747, 0.5747, 0.8506)  1 Cr 1.81
Mg (0.7500, 0.2500, 0.5000)  4 Mg 2.68, 4 Cr 2.84
Mg (0.2500, 0.7500, 0.5000)  4 Mg 2.68, 4 Cr 2.84
Pt (0.0000, 0.0000, 0.0000)  8 Cr 2.82

Computed properties:
The magnetization is 0.3109 μB/atom. The calculation puts the polymorph energy (0 for the lowest one) at 446.8 meV/atom. The calculated total energy is -25.3 eV/f.u. For the formation enthalpy at 0 K, the calculation gives 0.64 eV/atom. The space group is I4/mmm (139).

=====

Record 5
# TbNdIn4

A relaxed structure of TbNdIn4 (GGA-PBE, Alexandria).

a b c (Å): 3.5129 10.4572 18.1914
angles (deg): 90.00 90.00 90.00
Closest atoms and distances in Å follow each position.
Fractional positions:
Tb (0.0000, 0.6178, 0.0737)  10 In 3.25-3.36, 2 Tb 3.51
Tb (0.0000, 0.3822, 0.9263)  10 In 3.25-3.36, 2 Tb 3.51
Tb (0.0000, 0.1178, 0.4263)  10 In 3.25-3.36, 2 Tb 3.51
Tb (0.0000, 0.8822, 0.5737)  10 In 3.25-3.36, 2 Tb 3.51
Nd (0.0000, 0.5779, 0.3654)  10 In 3.36-3.57, 2 Nd 3.51
Nd (0.0000, 0.4221, 0.6346)  10 In 3.36-3.57, 2 Nd 3.51
Nd (0.0000, 0.0779, 0.1346)  10 In 3.36-3.57, 2 Nd 3.51
Nd (0.0000, 0.9221, 0.8654)  10 In 3.36-3.57, 2 Nd 3.51
In (0.5000, 0.7971, 0.1908)  3 In 2.89-3.06
In (0.5000, 0.2029, 0.8092)  3 In 2.89-3.06
In (0.5000, 0.2971, 0.3092)  3 In 2.89-3.06
In (0.5000, 0.7029, 0.6908)  3 In 2.89-3.06
In (0.5000, 0.8696, 0.0279)  3 In 2.91-3.06
In (0.5000, 0.1304, 0.9721)  3 In 2.91-3.06
In (0.5000, 0.3696, 0.4721)  3 In 2.91-3.06
In (0.5000, 0.6304, 0.5279)  3 In 2.91-3.06
In (0.5000, 0.8445, 0.4185)  2 In 2.97-2.99
In (0.5000, 0.1555, 0.5815)  2 In 2.97-2.99
In (0.5000, 0.3445, 0.0815)  2 In 2.97-2.99
In (0.5000, 0.6555, 0.9185)  2 In 2.97-2.99
In (0.5000, 0.0155, 0.2882)  3 In 2.89-2.97
In (0.5000, 0.9845, 0.7118)  3 In 2.89-2.97
In (0.5000, 0.5155, 0.2118)  3 In 2.89-2.97
In (0.5000, 0.4845, 0.7882)  3 In 2.89-2.97

Computed properties:
The magnetization is 0.0000 μB/atom. The calculation puts the polymorph energy (0 for the lowest one) at 57.6 meV/atom. The calculated total energy is -22.3 eV/f.u. For the formation enthalpy at 0 K, the calculation gives -0.33 eV/atom. The space group is Pbam (55).

=====

Record 6
# Sm3Dy4Tm

A relaxed structure of Sm3Dy4Tm (GGA-PBE, Alexandria).

a b c (Å): 3.4777 11.6276 8.8592
angles (deg): 131.00 101.32 90.00
Closest atoms and distances in Å follow each position.
Fractional positions:
Tm (0.5000, 0.0000, 0.0000)  4 Dy 3.34, 2 Tm 3.48, 4 Sm 3.58
Sm (0.0000, 0.5000, 0.0000)  6 Sm 3.48-3.75, 8 Dy 3.85
Sm (0.7574, 0.7574, 0.5148)  6 Dy 3.36-3.62, 4 Sm 3.48-3.75, 2 Tm 3.58
Sm (0.2426, 0.2426, 0.4852)  6 Dy 3.36-3.62, 4 Sm 3.48-3.75, 2 Tm 3.58
Dy (0.6345, 0.3797, 0.2690)  1 Tm 3.34, 3 Sm 3.36-3.62, 5 Dy 3.45-3.48
Dy (0.3655, 0.6203, 0.7310)  1 Tm 3.34, 3 Sm 3.36-3.62, 5 Dy 3.45-3.48
Dy (0.3654, 0.1103, 0.7307)  1 Tm 3.34, 3 Sm 3.36-3.62, 5 Dy 3.45-3.48
Dy (0.6346, 0.8897, 0.2693)  1 Tm 3.34, 3 Sm 3.36-3.62, 5 Dy 3.45-3.48

Computed properties:
The magnetization is 0.0000 μB/atom. The calculation puts the polymorph energy (0 for the lowest one) at 111.6 meV/atom. The calculated total energy is -36.0 eV/f.u. For the formation enthalpy at 0 K, the calculation gives 0.13 eV/atom. The space group is Immm (71).

=====

Record 7
# Rb2Sc2USe6

A relaxed structure of Rb2Sc2USe6 (GGA-PBE, Alexandria).

a b c (Å): 6.9835 6.9835 8.5040
angles (deg): 97.79 97.79 120.29
Closest atoms and distances in Å follow each position.
Fractional positions:
Rb (0.8345, 0.1655, 0.0000)  6 Se 3.44-3.48
Rb (0.1655, 0.8345, 0.0000)  6 Se 3.44-3.48
Sc (0.3327, 0.6673, 0.5000)  6 Se 2.75-2.76
Sc (0.6673, 0.3327, 0.5000)  6 Se 2.75-2.76
U (0.0000, 0.0000, 0.5000)  6 Se 2.83
Se (0.7185, 0.7185, 0.6862)  2 Sc 2.76, 1 U 2.83
Se (0.0622, 0.4037, 0.6863)  2 Sc 2.75, 1 U 2.83
Se (0.2815, 0.2815, 0.3138)  2 Sc 2.76, 1 U 2.83
Se (0.4037, 0.0622, 0.6863)  2 Sc 2.75, 1 U 2.83
Se (0.9378, 0.5963, 0.3137)  2 Sc 2.75, 1 U 2.83
Se (0.5963, 0.9378, 0.3137)  2 Sc 2.75, 1 U 2.83

Computed properties:
The magnetization is 0.1818 μB/atom. The calculated total energy is -63.3 eV/f.u. The space group is C2/m (12).

=====

Record 8
# BeTcSnOs2

A relaxed structure of BeTcSnOs2 (GGA-PBE, Alexandria).

a b c (Å): 4.2183 4.2146 4.2183
angles (deg): 90.00 90.00 90.00
Closest atoms and distances in Å follow each position.
Fractional positions:
Be (0.0000, 0.0000, 0.0000)  2 Tc 2.11, 4 Os 2.11
Os (0.0000, 0.0000, 0.5000)  2 Be 2.11
Os (0.5000, 0.0000, 0.0000)  2 Be 2.11
Sn (0.5000, 0.5000, 0.5000)  8 Os 2.98, 4 Tc 2.98
Tc (0.0000, 0.5000, 0.0000)  2 Be 2.11

Computed properties:
The magnetization is 0.4071 μB/atom. The calculated total energy is -37.4 eV/f.u. For the formation enthalpy at 0 K, the calculation gives 0.63 eV/atom. The space group is P4/mmm (123).

=====

Record 9
# InGe

A relaxed structure of InGe (GGA-PBE, Alexandria).

a b c (Å): 10.3260 10.3260 3.8563
angles (deg): 90.00 90.00 90.00
Closest atoms and distances in Å follow each position.
Fractional positions:
In (0.6959, 0.5850, 0.5000)  3 Ge 2.93-2.97, 2 In 3.12
In (0.3041, 0.4150, 0.5000)  3 Ge 2.93-2.97, 2 In 3.12
In (0.4150, 0.6959, 0.5000)  3 Ge 2.93-2.97, 2 In 3.12
In (0.5850, 0.3041, 0.5000)  3 Ge 2.93-2.97, 2 In 3.12
In (0.9164, 0.7801, 0.0000)  6 Ge 3.05-3.31
In (0.0836, 0.2199, 0.0000)  6 Ge 3.05-3.31
In (0.2199, 0.9164, 0.0000)  6 Ge 3.05-3.31
In (0.7801, 0.0836, 0.0000)  6 Ge 3.05-3.31
Ge (0.7011, 0.8688, 0.5000)  2 Ge 2.60
Ge (0.2989, 0.1312, 0.5000)  2 Ge 2.60
Ge (0.1312, 0.7011, 0.5000)  2 Ge 2.60
Ge (0.8688, 0.2989, 0.5000)  2 Ge 2.60
Ge (0.8804, 0.4679, 0.0000)  3 Ge 2.56-2.60
Ge (0.1196, 0.5321, 0.0000)  3 Ge 2.56-2.60
Ge (0.5321, 0.8804, 0.0000)  3 Ge 2.56-2.60
Ge (0.4679, 0.1196, 0.0000)  3 Ge 2.56-2.60

Computed properties:
The magnetization is 0.0000 μB/atom. The calculated total energy is -7.0 eV/f.u. For the formation enthalpy at 0 K, the calculation gives 0.16 eV/atom. The space group is P4/m (83).

=====

Record 10
# CaNd6Dy2Ho

A relaxed structure of CaNd6Dy2Ho (GGA-PBE, Alexandria).

a b c (Å): 9.9053 9.0224 9.0224
angles (deg): 118.60 94.48 94.48
Closest atoms and distances in Å follow each position.
Fractional positions:
Ca (0.2500, 0.4016, 0.5984)  6 Nd 3.58-3.68, 2 Dy 3.66
Ca (0.7500, 0.5984, 0.4016)  6 Nd 3.58-3.68, 2 Dy 3.66
Nd (0.0522, 0.1147, 0.7644)  5 Nd 3.43-3.84, 1 Dy 3.45, 1 Ho 3.68
Nd (0.4478, 0.2356, 0.8853)  5 Nd 3.43-3.84, 1 Dy 3.45, 1 Ho 3.68
Nd (0.9478, 0.8853, 0.2356)  5 Nd 3.43-3.84, 1 Dy 3.45, 1 Ho 3.68
Nd (0.5522, 0.7644, 0.1147)  5 Nd 3.43-3.84, 1 Dy 3.45, 1 Ho 3.68
Nd (0.3229, 0.9723, 0.4303)  4 Nd 3.28-3.67, 1 Dy 3.52, 1 Ca 3.58
Nd (0.1771, 0.5697, 0.0277)  4 Nd 3.28-3.67, 1 Dy 3.52, 1 Ca 3.58
Nd (0.6771, 0.0277, 0.5697)  4 Nd 3.28-3.67, 1 Dy 3.52, 1 Ca 3.58
Nd (0.8229, 0.4303, 0.9723)  4 Nd 3.28-3.67, 1 Dy 3.52, 1 Ca 3.58
Nd (0.1235, 0.7120, 0.5009)  3 Nd 3.28-3.43, 3 Dy 3.32-3.48, 1 Ca 3.59
Nd (0.3765, 0.4991, 0.2880)  3 Nd 3.28-3.43, 3 Dy 3.32-3.48, 1 Ca 3.59
Nd (0.8765, 0.2880, 0.4991)  3 Nd 3.28-3.43, 3 Dy 3.32-3.48, 1 Ca 3.59
Nd (0.6235, 0.5009, 0.7120)  3 Nd 3.28-3.43, 3 Dy 3.32-3.48, 1 Ca 3.59
Dy (0.4570, 0.8022, 0.7030)  6 Nd 3.32-3.69, 2 Ho 3.42-3.49, 1 Ca 3.66
Dy (0.0430, 0.2970, 0.1978)  6 Nd 3.32-3.69, 2 Ho 3.42-3.49, 1 Ca 3.66
Dy (0.5430, 0.1978, 0.2970)  6 Nd 3.32-3.69, 2 Ho 3.42-3.49, 1 Ca 3.66
Dy (0.9570, 0.7030, 0.8022)  6 Nd 3.32-3.69, 2 Ho 3.42-3.49, 1 Ca 3.66
Ho (0.2500, 0.9739, 0.0261)  4 Dy 3.42-3.49, 4 Nd 3.67-3.68
Ho (0.7500, 0.0261, 0.9739)  4 Dy 3.42-3.49, 4 Nd 3.67-3.68

Computed properties:
The magnetization is 0.0000 μB/atom. The calculated total energy is -43.1 eV/f.u. For the formation enthalpy at 0 K, the calculation gives 0.13 eV/atom. The space group is C2/c (15).

=====

Record 11
# CaMnTc2

A relaxed structure of CaMnTc2 (GGA-PBE, Alexandria).

a b c (Å): 5.5958 5.5958 5.5958
angles (deg): 150.76 129.63 59.31
Closest atoms and distances in Å follow each position.
Fractional positions:
Ca (0.2500, 0.7500, 0.5000)  4 Mn 2.77, 2 Ca 2.82
Mn (0.7500, 0.2500, 0.5000)  4 Tc 2.51, 4 Ca 2.77
Tc (0.9628, 0.9628, 0.0000)  2 Mn 2.51
Tc (0.5372, 0.5372, 0.0000)  2 Mn 2.51

Computed properties:
The magnetization is 0.3129 μB/atom. The calculation puts the polymorph energy (0 for the lowest one) at 160.7 meV/atom. The calculated total energy is -30.0 eV/f.u. For the formation enthalpy at 0 K, the calculation gives 0.49 eV/atom. The space group is Immm (71).

=====

Record 12
# Pm5SnSb4

A relaxed structure of Pm5SnSb4 (GGA-PBE, Alexandria).

a b c (Å): 6.3520 7.7797 7.7797
angles (deg): 80.41 65.91 65.91
Closest atoms and distances in Å follow each position.
Fractional positions:
Pm (0.8997, 0.4032, 0.7993)  5 Sb 3.15-3.18, 1 Sn 3.20
Pm (0.3030, 0.7993, 0.5968)  5 Sb 3.15-3.18, 1 Sn 3.20
Pm (0.6991, 0.2007, 0.4032)  5 Sb 3.15-3.18, 1 Sn 3.20
Pm (0.1023, 0.5968, 0.2007)  5 Sb 3.15-3.18, 1 Sn 3.20
Pm (0.5010, 0.0000, 0.0000)  2 Sn 3.18, 4 Sb 3.18
Sn (0.0011, 0.0000, 0.0000)  6 Pm 3.18-3.20
Sb (0.4013, 0.4000, 0.7995)  6 Pm 3.15-3.18
Sb (0.8013, 0.7995, 0.6000)  6 Pm 3.15-3.18
Sb (0.2007, 0.2005, 0.4000)  6 Pm 3.15-3.18
Sb (0.6008, 0.6000, 0.2005)  6 Pm 3.15-3.18

Computed properties:
The magnetization is 0.0000 μB/atom. The calculation puts the polymorph energy (0 for the lowest one) at 2.6 meV/atom. The calculated total energy is -54.8 eV/f.u. The space group is I4/m (87).